LiBeAs2: single point on PBEsol structure, SCAN.

Cell lengths 10.3916, 3.6834, 3.6860 Å; angles 90.00, 110.64, 90.00 degrees
Closest atoms and distances in Å follow each position.
Space group Cm (No. 8)
Asymmetric unit:
Li: 0.0000 0.0000 0.0000 [2 per cell]  8 As 2.86-2.87, 4 Be 3.04-3.06
Be: 0.2501 0.5000 0.2463 [2 per cell]  4 As 2.22
As: 0.1235 0.5000 0.6207 [2 per cell]  2 Be 2.22, 1 As 2.40
As: 0.3770 0.0000 0.3781 [2 per cell]  2 Be 2.22, 1 As 2.40

Summary:
DOS at the Fermi energy: 0.189 states/eV per atom
DFT total energy: -12.05 eV/atom
calculated volume: 16.5 A^3/atom
energy of formation: -0.274 eV per atom